#w
First-principles (GGA-PBE) data for an optimized crystal structure of LiCr2Cl, as listed in the Alexandria database.

Properties
**Theoretical density**: 3.5 Mg/m³

a b c (Å): 4.6182 4.6182 6.5124
angles (deg): 90.00 90.00 90.00
With the nearest neighbours (Å) after each atom.
Space group I-4m2 (No. 119)
Inequivalent atoms, fractional coordinates:
Li1 0.0000 0.0000 0.0000 x2  4 Cr 2.83, 4 Cl 2.83
Cr1 0.0000 0.0000 0.5000 x2  4 Cr 2.83, 4 Cl 2.83
Cr2 0.0000 0.5000 0.7500 x2  4 Cr 2.83, 4 Li 2.83
Cl1 0.0000 0.5000 0.2500 x2  4 Cr 2.83, 4 Li 2.83


#x
First-principles (GGA-PBE) data for an optimized crystal structure of LiCr2Cl, as listed in the Alexandria database.

Properties
**Theoretical density**: 3.8 Mg/m³

a b c (Å): 2.9557 5.8178 3.7413
angles (deg): 90.00 91.20 90.00
With the nearest neighbours (Å) after each atom.
Space group P2/m (No. 10)
Inequivalent atoms, fractional coordinates:
Li1 0.0000 0.0000 0.0000 x1  4 Cl 2.36-2.41
Cr1 0.2637 0.5000 0.1901 x2  2 Cr 2.01-2.09
Cl1 0.5000 0.0000 0.5000 x1  4 Li 2.36-2.41


Which of them is most stable? Easy: #x.


#w
First-principles (GGA-PBE) data for an optimized crystal structure of LiCr2Cl, as listed in the Alexandria database.

Properties
**Theoretical density**: 3.7 Mg/m³

a b c (Å): 14.2159 3.0169 3.1375
angles (deg): 90.00 100.30 90.00
With the nearest neighbours (Å) after each atom.
Space group C2/m (No. 12)
Inequivalent atoms, fractional coordinates:
Li1 0.0000 0.0000 0.0000 x2  4 Cl 2.18
Cr1 0.2144 0.0000 0.6560 x4  2 Cr 2.15
Cl1 0.0000 0.5000 0.5000 x2  4 Li 2.18


#x
First-principles (GGA-PBE) data for an optimized crystal structure of LiCr2Cl, as listed in the Alexandria database.

Properties
**Theoretical density**: 3.3 Mg/m³

a b c (Å): 3.1733 3.1733 7.3805
angles (deg): 90.00 90.00 90.00
With the nearest neighbours (Å) after each atom.
Space group P4mm (No. 99)
Inequivalent atoms, fractional coordinates:
Li1 0.0000 0.0000 0.0000 x1  4 Cl 2.33
Cr1 0.0000 0.0000 0.5947 x1  4 Cr 2.49
Cr2 0.5000 0.5000 0.7416 x1  4 Cr 2.49, 1 Cl 2.54
Cl1 0.5000 0.5000 0.0860 x1  4 Li 2.33, 1 Cr 2.54


#y
First-principles (GGA-PBE) data for an optimized crystal structure of LiCr2Cl, as listed in the Alexandria database.

Properties
**Theoretical density**: 3.2 Mg/m³

a b c (Å): 3.2426 3.6610 6.4258
angles (deg): 90.00 90.00 90.00
With the nearest neighbours (Å) after each atom.
Space group Pmmm (No. 47)
Inequivalent atoms, fractional coordinates:
Li1 0.0000 0.0000 0.0000 x1  4 Cl 2.45
Cr1 0.0000 0.5000 0.5000 x1  4 Cr 2.45
Cr2 0.5000 0.0000 0.5000 x1  4 Cr 2.45
Cl1 0.5000 0.5000 0.0000 x1  4 Li 2.45


#z
First-principles (GGA-PBE) data for an optimized crystal structure of LiCr2Cl, as listed in the Alexandria database.

Properties
**Theoretical density**: 3.2 Mg/m³

a b c (Å): 3.2070 3.2070 25.6804
angles (deg): 90.00 90.00 120.00
With the nearest neighbours (Å) after each atom.
Space group R-3m (No. 166, hexagonal axes)
Inequivalent atoms, fractional coordinates:
Li1 0.0000 0.0000 0.0000 x3  6 Cr 2.96, 6 Li 3.21
Cr1 0.0000 0.0000 0.2435 x6  3 Cl 2.71, 3 Li 2.96
Cl1 0.0000 0.0000 0.5000 x3  6 Cr 2.71


Which of them is most stable? Easy: #x.


#w
First-principles (GGA-PBE) data for an optimized crystal structure of LiCr2Cl, as listed in the Alexandria database.

Properties
**Theoretical density**: 3.8 Mg/m³

a b c (Å): 3.1467 3.1941 12.6975
angles (deg): 90.00 90.00 90.00
With the nearest neighbours (Å) after each atom.
Space group Amm2 (No. 38)
Inequivalent atoms, fractional coordinates:
Li1 0.0000 0.0000 0.0000 x2  4 Cl 2.37
Cr1 0.0000 0.0000 0.2333 x2  4 Cr 2.50
Cr2 0.5000 0.0000 0.6465 x2  4 Cr 2.50, 1 Cl 2.64
Cl1 0.5000 0.0000 0.4384 x2  4 Li 2.37, 1 Cr 2.64


#x
First-principles (GGA-PBE) data for an optimized crystal structure of LiCr2Cl, as listed in the Alexandria database.

Properties
**Theoretical density**: 3.4 Mg/m³

a b c (Å): 5.7868 8.0641 3.0846
angles (deg): 90.00 90.00 90.00
With the nearest neighbours (Å) after each atom.
Space group Cmmm (No. 65)
Inequivalent atoms, fractional coordinates:
Li1 0.0000 0.0000 0.0000 x2  2 Cl 2.89, 8 Cr 2.92, 2 Li 3.08
Cr1 0.2500 0.2500 0.5000 x4  4 Cr 2.89-3.08, 4 Cl 2.92, 4 Li 2.92
Cl1 0.0000 0.5000 0.0000 x2  2 Li 2.89, 8 Cr 2.92, 2 Cl 3.08


Which of them is most stable? Easy: #w.